1.
# CsAuI2F

A relaxed structure of CsAuI2F (PBE-GGA, OQMD via LeMat-Bulk).

Cell and atoms, written as CIF:
```
data_CsAuI2F
_chemical_formula_sum 'Cs2 Au2 I4 F2'
_cell_length_a 7.882
_cell_length_b 7.882
_cell_length_c 7.882
_cell_angle_alpha 117.86
_cell_angle_beta 117.86
_cell_angle_gamma 93.75
_symmetry_space_group_name_H-M 'P 1'
_symmetry_Int_Tables_number 1
loop_
_symmetry_equiv_pos_as_xyz
'x,y,z'
loop_
_atom_site_label
_atom_site_type_symbol
_atom_site_fract_x
_atom_site_fract_y
_atom_site_fract_z
Cs1 Cs 0.250 0.750 0.500
Cs2 Cs 0.750 0.250 0.500
Au1 Au 0.000 0.000 0.000
Au2 Au 0.500 0.500 0.000
I1 I 0.235 0.235 0.471
I2 I 0.235 0.765 0.000
I3 I 0.765 0.235 0.000
I4 I 0.765 0.765 0.529
F1 F 0.312 0.312 0.000
F2 F 0.688 0.688 0.000
```

Computed properties:
**VASP energy**: -28.38 eV per cell

=====

2.
# Cs2NaAuF6

A relaxed structure of Cs2NaAuF6 (PBE-GGA, OQMD via LeMat-Bulk).

Cell and atoms, written as CIF:
```
data_Cs2NaAuF6
_chemical_formula_sum 'Cs4 Na2 Au2 F12'
_cell_length_a 10.685
_cell_length_b 10.685
_cell_length_c 10.685
_cell_angle_alpha 33.32
_cell_angle_beta 33.32
_cell_angle_gamma 33.32
_symmetry_space_group_name_H-M 'P 1'
_symmetry_Int_Tables_number 1
loop_
_symmetry_equiv_pos_as_xyz
'x,y,z'
loop_
_atom_site_label
_atom_site_type_symbol
_atom_site_fract_x
_atom_site_fract_y
_atom_site_fract_z
Cs1 Cs 0.128 0.128 0.128
Cs2 Cs 0.286 0.286 0.286
Cs3 Cs 0.714 0.714 0.714
Cs4 Cs 0.872 0.872 0.872
Na1 Na 0.408 0.408 0.408
Na2 Na 0.592 0.592 0.592
Au1 Au 0.000 0.000 0.000
Au2 Au 0.500 0.500 0.500
F1 F 0.132 0.620 0.620
F2 F 0.202 0.202 0.716
F3 F 0.202 0.716 0.202
F4 F 0.284 0.798 0.798
F5 F 0.380 0.380 0.868
F6 F 0.380 0.868 0.380
F7 F 0.620 0.132 0.620
F8 F 0.620 0.620 0.132
F9 F 0.716 0.202 0.202
F10 F 0.798 0.284 0.798
F11 F 0.798 0.798 0.284
F12 F 0.868 0.380 0.380
```

Computed properties:
**VASP energy**: -74.73 eV per cell

=====

3.
# Cs2TlAuF6

A relaxed structure of Cs2TlAuF6 (PBE-GGA, OQMD via LeMat-Bulk).

Cell and atoms, written as CIF:
```
data_Cs2TlAuF6
_chemical_formula_sum 'Cs2 Tl1 Au1 F6'
_cell_length_a 4.076
_cell_length_b 4.076
_cell_length_c 11.368
_cell_angle_alpha 90.00
_cell_angle_beta 90.00
_cell_angle_gamma 90.00
_symmetry_space_group_name_H-M 'P 1'
_symmetry_Int_Tables_number 1
loop_
_symmetry_equiv_pos_as_xyz
'x,y,z'
loop_
_atom_site_label
_atom_site_type_symbol
_atom_site_fract_x
_atom_site_fract_y
_atom_site_fract_z
Cs1 Cs 0.000 0.000 0.244
Cs2 Cs 0.000 0.000 0.756
Tl1 Tl 0.500 0.500 0.000
Au1 Au 0.500 0.500 0.500
F1 F 0.000 0.000 0.000
F2 F 0.000 0.000 0.500
F3 F 0.000 0.500 0.383
F4 F 0.000 0.500 0.617
F5 F 0.500 0.000 0.383
F6 F 0.500 0.000 0.617
```

Computed properties:
**VASP energy**: -30.24 eV per cell

=====

> The highest VASP energy belongs to which entry?

CsAuI2F

=====

> VASP energy of number 3 (Cs2TlAuF6)?

-30.24 eV per cell

=====

> The lowest VASP energy belongs to which entry?

Cs2NaAuF6